# 1
Rb2BaAu2 | GGA-PBE | optimized geometry

Cell lengths 9.7338, 9.7338, 3.9765 Å; angles 90.00, 90.00, 90.00 degrees
Closest atoms and distances in Å follow each position.
Sites, in units of the cell vectors:
Rb  0.1231  0.3769  0.0000  6 Au 3.35-3.61, 1 Rb 3.39
Rb  0.3769  0.8769  0.0000  6 Au 3.35-3.61, 1 Rb 3.39
Rb  0.6231  0.1231  0.0000  6 Au 3.35-3.61, 1 Rb 3.39
Rb  0.8769  0.6231  0.0000  6 Au 3.35-3.61, 1 Rb 3.39
Ba  0.0000  0.0000  0.0000  4 Rb 3.86, 2 Ba 3.98, 8 Au 4.09
Ba  0.5000  0.5000  0.0000  4 Rb 3.86, 2 Ba 3.98, 8 Au 4.09
Au  0.1811  0.6811  0.5000  6 Rb 3.35-3.61
Au  0.3189  0.1811  0.5000  6 Rb 3.35-3.61
Au  0.6811  0.8189  0.5000  6 Rb 3.35-3.61
Au  0.8189  0.3189  0.5000  6 Rb 3.35-3.61

## Properties
Crystal system   tetragonal
Total moment   0.00 μB/atom
Space-group type   No. 127
Formation energy   -0.143 eV/atom
Energy above the most stable polymorph in this dataset   0.165 eV per atom

# 2
RbBaAu10 | GGA-PBE | optimized geometry

Cell lengths 4.5462, 5.8852, 10.3004 Å; angles 90.00, 90.00, 90.00 degrees
Closest atoms and distances in Å follow each position.
Sites, in units of the cell vectors:
Rb  0.0000  0.0000  0.0000  18 Au 3.40-3.79
Ba  0.0000  0.5000  0.5000  18 Au 3.41-3.72
Au  0.0000  0.0000  0.3321  6 Au 2.84-2.86
Au  0.0000  0.0000  0.6679  6 Au 2.84-2.86
Au  0.0000  0.5000  0.1648  6 Au 2.84-2.85
Au  0.0000  0.5000  0.8352  6 Au 2.84-2.85
Au  0.5000  0.0000  0.5000  8 Au 2.86-2.93
Au  0.5000  0.2553  0.2559  8 Au 2.84-3.01
Au  0.5000  0.2553  0.7441  8 Au 2.84-3.01
Au  0.5000  0.5000  0.0000  8 Au 2.84-3.00
Au  0.5000  0.7447  0.2559  8 Au 2.84-3.01
Au  0.5000  0.7447  0.7441  8 Au 2.84-3.01

## Properties
Crystal system   orthorhombic
Total moment   0.00 μB/atom
Space-group type   No. 47
Formation energy   -0.315 eV/atom

# 3
Rb2BaAu2 | GGA-PBE | optimized geometry

Cell lengths 8.5466, 8.5466, 5.5697 Å; angles 90.00, 90.00, 90.00 degrees
Closest atoms and distances in Å follow each position.
Sites, in units of the cell vectors:
Rb  0.1608  0.3392  0.0000  6 Au 3.69-3.84, 1 Rb 3.89
Rb  0.3392  0.8392  0.0000  6 Au 3.69-3.84, 1 Rb 3.89
Rb  0.6608  0.1608  0.0000  6 Au 3.69-3.84, 1 Rb 3.89
Rb  0.8392  0.6608  0.0000  6 Au 3.69-3.84, 1 Rb 3.89
Ba  0.0000  0.0000  0.5000  4 Au 3.41
Ba  0.5000  0.5000  0.5000  4 Au 3.41
Au  0.1200  0.6200  0.5000  1 Au 2.90
Au  0.3800  0.1200  0.5000  1 Au 2.90
Au  0.6200  0.8800  0.5000  1 Au 2.90
Au  0.8800  0.3800  0.5000  1 Au 2.90

## Properties
Crystal system   tetragonal
Total moment   0.00 μB/atom
Space-group type   No. 127
Formation energy   -0.308 eV/atom
Energy above the most stable polymorph in this dataset   0.000 eV per atom

# 4
RbBaAu | GGA-PBE | optimized geometry

Cell lengths 4.6437, 4.6437, 16.8101 Å; angles 90.00, 90.00, 120.00 degrees
Closest atoms and distances in Å follow each position.
Sites, in units of the cell vectors:
Rb  0.0000  0.0000  0.1306  3 Au 3.47
Rb  0.0000  0.0000  0.8694  3 Au 3.47
Ba  0.3333  0.6667  0.3801  3 Au 3.35
Ba  0.3333  0.6667  0.6199  3 Au 3.35
Au  0.0000  0.0000  0.5000  6 Ba 3.35
Au  0.3333  0.6667  0.0000  6 Rb 3.47

## Properties
Crystal system   hexagonal
Total moment   0.00 μB/atom
Space-group type   No. 187
Formation energy   -0.288 eV/atom
Energy above the most stable polymorph in this dataset   0.132 eV per atom

# 5
RbBaAu | GGA-PBE | optimized geometry

Cell lengths 4.5057, 4.8815, 14.1499 Å; angles 90.00, 90.10, 90.00 degrees
Closest atoms and distances in Å follow each position.
Sites, in units of the cell vectors:
Rb  0.0016  0.2500  0.3545  1 Au 4.08, 2 Rb 4.51
Rb  0.9984  0.7500  0.6455  1 Au 4.08, 2 Rb 4.51
Ba  0.4994  0.2500  0.8797  6 Au 3.41-3.47
Ba  0.5006  0.7500  0.1203  6 Au 3.41-3.47
Au  0.0003  0.2500  0.0664  2 Au 3.08, 4 Ba 3.41
Au  0.9997  0.7500  0.9336  2 Au 3.08, 4 Ba 3.41

## Properties
Crystal system   monoclinic
Total moment   0.00 μB/atom
Space-group type   No. 11
Formation energy   -0.420 eV/atom
Energy above the most stable polymorph in this dataset   0.000 eV per atom

# 6
RbBaAu3 | GGA-PBE | optimized geometry

Cell lengths 5.9523, 5.9523, 5.9523 Å; angles 90.00, 90.00, 90.00 degrees
Closest atoms and distances in Å follow each position.
Sites, in units of the cell vectors:
Rb  0.0000  0.0000  0.0000  6 Au 2.98
Ba  0.5000  0.5000  0.5000  12 Au 4.21
Au  0.0000  0.0000  0.5000  2 Rb 2.98
Au  0.0000  0.5000  0.0000  2 Rb 2.98
Au  0.5000  0.0000  0.0000  2 Rb 2.98

## Properties
Crystal system   cubic
Total moment   0.00 μB/atom
Space-group type   No. 221
Formation energy   0.146 eV/atom
Energy above the most stable polymorph in this dataset   0.685 eV per atom

# 7
RbBa6Au3 | GGA-PBE | optimized geometry

Cell lengths 14.6986, 4.8308, 15.0768 Å; angles 90.00, 101.30, 90.00 degrees
Closest atoms and distances in Å follow each position.
Sites, in units of the cell vectors:
Rb  0.0379  0.2500  0.1436  6 Ba 4.40-4.81, 4 Rb 4.83-4.89
Rb  0.9621  0.7500  0.8564  6 Ba 4.40-4.81, 4 Rb 4.83-4.89
Ba  0.0688  0.7500  0.4099  3 Au 3.26-3.39
Ba  0.2018  0.7500  0.6922  2 Au 3.23
Ba  0.2445  0.2500  0.9683  2 Au 3.23
Ba  0.3359  0.7500  0.2600  3 Au 3.31-3.35
Ba  0.3826  0.2500  0.5369  4 Au 3.37-3.46
Ba  0.4757  0.7500  0.8659  4 Au 3.29-3.42
Ba  0.5243  0.2500  0.1341  4 Au 3.29-3.42
Ba  0.6174  0.7500  0.4631  4 Au 3.37-3.46
Ba  0.6641  0.2500  0.7400  3 Au 3.31-3.35
Ba  0.7555  0.7500  0.0317  2 Au 3.23
Ba  0.7982  0.2500  0.3078  2 Au 3.23
Ba  0.9312  0.2500  0.5901  3 Au 3.26-3.39
Au  0.1497  0.2500  0.5485  6 Ba 3.23-3.46
Au  0.3800  0.7500  0.0528  6 Ba 3.23-3.39
Au  0.4830  0.2500  0.3498  6 Ba 3.35-3.43
Au  0.5170  0.7500  0.6502  6 Ba 3.35-3.43
Au  0.6200  0.2500  0.9472  6 Ba 3.23-3.39
Au  0.8503  0.7500  0.4515  6 Ba 3.23-3.46

## Properties
Crystal system   monoclinic
Total moment   0.00 μB/atom
Space-group type   No. 11
Formation energy   -0.429 eV/atom

# 8
RbBaAuS2 | GGA-PBE | optimized geometry

Cell lengths 7.5451, 5.9073, 8.7468 Å; angles 90.00, 93.81, 90.00 degrees
Closest atoms and distances in Å follow each position.
Sites, in units of the cell vectors:
Rb  0.0000  0.0420  0.2500  4 S 3.36-3.39
Rb  0.0000  0.9580  0.7500  4 S 3.36-3.39
Ba  0.5000  0.4890  0.7500  4 S 3.12-3.13
Ba  0.5000  0.5110  0.2500  4 S 3.12-3.13
Au  0.5000  0.0000  0.0000  2 S 2.34
Au  0.5000  0.0000  0.5000  2 S 2.34
S  0.2686  0.2638  0.9927  1 Au 2.34
S  0.2686  0.7362  0.4927  1 Au 2.34
S  0.7314  0.2638  0.5073  1 Au 2.34
S  0.7314  0.7362  0.0073  1 Au 2.34

## Properties
Crystal system   monoclinic
Energy relative to the elements, uncorrected   -1.22 eV/atom
Total moment   0.00 μB/atom
Space-group type   No. 13

# 9
Rb2BaTaAu | GGA-PBE | optimized geometry

Cell lengths 6.5067, 6.5067, 5.3360 Å; angles 90.00, 90.00, 90.00 degrees
Closest atoms and distances in Å follow each position.
Sites, in units of the cell vectors:
Rb  0.0000  0.5000  0.0000  2 Au 3.25
Rb  0.5000  0.0000  0.0000  2 Au 3.25
Ba  0.0000  0.0000  0.5000  8 Rb 4.21, 4 Ta 4.60
Ta  0.5000  0.5000  0.5000  2 Au 2.67
Au  0.5000  0.5000  0.0000  2 Ta 2.67

## Properties
Crystal system   tetragonal
Total moment   0.45 μB/atom
Space-group type   No. 123
Formation energy   0.848 eV/atom

# 10
RbBaTe2Au | GGA-PBE | optimized geometry

Cell lengths 10.1361, 10.1361, 5.6753 Å; angles 90.00, 90.00, 125.10 degrees
Closest atoms and distances in Å follow each position.
Sites, in units of the cell vectors:
Rb  0.2500  0.7500  0.7606  4 Te 3.63-3.69
Rb  0.7500  0.2500  0.2394  4 Te 3.63-3.69
Ba  0.2500  0.2500  0.5000  4 Te 3.49, 4 Au 3.68
Ba  0.7500  0.7500  0.5000  4 Te 3.49, 4 Au 3.68
Te  0.1215  0.8785  0.2546  1 Au 2.62
Te  0.3785  0.6215  0.2546  1 Au 2.62
Te  0.6215  0.3785  0.7454  1 Au 2.62
Te  0.8785  0.1215  0.7454  1 Au 2.62
Au  0.0000  0.0000  0.0000  2 Te 2.62
Au  0.5000  0.5000  0.0000  2 Te 2.62

## Properties
Crystal system   orthorhombic
Energy relative to the elements, uncorrected   -1.03 eV/atom
Total moment   0.00 μB/atom
Space-group type   No. 67

# 11
RbBa2TlAu | GGA-PBE | optimized geometry

Cell lengths 6.5117, 6.5117, 5.7589 Å; angles 90.00, 90.00, 90.00 degrees
Closest atoms and distances in Å follow each position.
Sites, in units of the cell vectors:
Rb  0.0000  0.0000  0.0000  8 Ba 4.35, 4 Tl 4.60
Ba  0.0000  0.5000  0.5000  2 Au 3.26
Ba  0.5000  0.0000  0.5000  2 Au 3.26
Tl  0.5000  0.5000  0.0000  2 Au 2.88
Au  0.5000  0.5000  0.5000  2 Tl 2.88

## Properties
Crystal system   tetragonal
Total moment   0.13 μB/atom
Space-group type   No. 123
Formation energy   -0.190 eV/atom
Energy above the most stable polymorph in this dataset   0.000 eV per atom

# 12
RbBa2TlAu | GGA-PBE | optimized geometry

Cell lengths 6.9540, 6.9540, 5.8586 Å; angles 90.00, 90.00, 90.00 degrees
Closest atoms and distances in Å follow each position.
Sites, in units of the cell vectors:
Rb  0.0000  0.0000  0.0000  2 Tl 2.93
Ba  0.0000  0.5000  0.0000  2 Rb 3.48
Ba  0.5000  0.0000  0.0000  2 Rb 3.48
Tl  0.0000  0.0000  0.5000  2 Rb 2.93
Au  0.5000  0.5000  0.5000  8 Ba 4.55, 4 Tl 4.92

## Properties
Crystal system   tetragonal
Total moment   0.10 μB/atom
Space-group type   No. 123
Formation energy   0.710 eV/atom
Energy above the most stable polymorph in this dataset   0.900 eV per atom